Entry 1:
Below is a geometry-optimized LiTmThRe structure, with properties calculated at the GGA-PBE level. Values from VASP.

The structure in Quantum ESPRESSO input format:
```
&SYSTEM
  ibrav = 0, nat = 4, ntyp = 4
/
ATOMIC_SPECIES
Re 186.21 Re.upf
Tm 168.93 Tm.upf
Th 232.04 Th.upf
Li 6.94 Li.upf
CELL_PARAMETERS angstrom
4.978 0.000 0.000
2.489 4.311 0.000
2.489 1.437 4.064
ATOMIC_POSITIONS angstrom
Re 4.978 2.874 2.032
Tm 2.489 1.437 1.016
Th 7.467 4.311 3.048
Li 0.000 0.000 0.000
```

## Properties
total magnetization: 0.0 μB/f.u.
formation enthalpy at 0 K: -29 meV per atom
space-group type: F-43m (216)
final energy: -26.37 eV per formula unit

***

Entry 2:
Below is a geometry-optimized LiYThRe structure, with properties calculated at the GGA-PBE level. Values from VASP.

The structure in Quantum ESPRESSO input format:
```
&SYSTEM
  ibrav = 0, nat = 4, ntyp = 4
/
ATOMIC_SPECIES
Y 88.91 Y.upf
Re 186.21 Re.upf
Th 232.04 Th.upf
Li 6.94 Li.upf
CELL_PARAMETERS angstrom
-0.420 4.601 1.947
-1.140 0.576 4.848
3.464 1.691 3.206
ATOMIC_POSITIONS angstrom
Y 0.953 3.434 5.000
Re 0.476 1.717 2.500
Th 0.000 0.000 0.000
Li 1.429 5.151 7.501
```

## Properties
total magnetization: 0.0 μB/f.u.
formation enthalpy at 0 K: 7 meV per atom
space-group type: F-43m (216)
final energy: -28.22 eV per formula unit